# Sr2ZrHg | Alexandria | PBE | optimized geometry
# energy of formation from the pure elements	0.254	eV per atom
# ρ	5870	kg/m³
# M_tot	2.02	μB per cell
# crystal system	tetragonal
# calculated total energy	-2.80	eV/atom
data_Sr2ZrHg
_chemical_formula_sum 'Sr2 Zr1 Hg1'
_cell_length_a 5.9375
_cell_length_b 5.9375
_cell_length_c 3.7478
_cell_angle_alpha 90.00
_cell_angle_beta 90.00
_cell_angle_gamma 90.00
_space_group_name_H-M_alt 'P 4/m m m'
_space_group_IT_number 123
_space_group_name_Hall '-P 4 2'
loop_
_atom_site_label
_atom_site_type_symbol
_atom_site_fract_x
_atom_site_fract_y
_atom_site_fract_z
_atom_site_occupancy
Sr1 Sr 0.0000 0.5000 0.0000 1
Zr1 Zr 0.0000 0.0000 0.5000 1
Hg1 Hg 0.5000 0.5000 0.5000 1